Bi3Pt after structural relaxation. Source: Alexandria via LeMat-Bulk, functional PBE-GGA.

It has space group Imm2 (No. 44), with a = 3.545 Å, b = 12.538 Å, c = 5.195 Å, α = 90.00°, β = 90.00° and γ = 90.00°. The distinct sites, in fractional coordinates, are Bi at (0.000, 0.000, 0.000), Bi at (0.000, 0.175, 0.551) and Pt at (0.000, 0.500, 0.936).

The uncorrected energy is -4.490 eV per atom. The energy above the most stable polymorph in this dataset is 0.24 eV per formula unit. For the spin magnetization, the calculation gives 0.0 μB/cell.

***

Bi3Pt after structural relaxation. Source: Alexandria via LeMat-Bulk, functional PBE-GGA.

It has space group Pmm2 (No. 25), with a = 3.382 Å, b = 3.505 Å, c = 9.662 Å, α = 90.00°, β = 90.00° and γ = 90.00°. The distinct sites, in fractional coordinates, are Bi at (0.000, 0.000, 0.000), Bi at (0.000, 0.500, 0.318), Bi at (0.500, 0.500, 0.707) and Pt at (0.500, 0.000, 0.480).

The uncorrected energy is -4.453 eV per atom. The energy above the most stable polymorph in this dataset is 0.39 eV per formula unit. For the spin magnetization, the calculation gives 0.0 μB/cell.

***

BiPt3 after structural relaxation. Source: Alexandria via LeMat-Bulk, functional PBE-GGA.

It has space group I4/mmm (No. 139), with a = 4.114 Å, b = 4.114 Å, c = 8.635 Å, α = 90.00°, β = 90.00° and γ = 90.00°. The distinct sites, in fractional coordinates, are Bi at (0.000, 0.000, 0.000), Pt at (0.000, 0.000, 0.500) and Pt at (0.000, 0.500, 0.250).

The uncorrected energy is -5.506 eV per atom. For the spin magnetization, the calculation gives 0.0 μB/cell.

***

Bi4Pt after structural relaxation. Source: Alexandria via LeMat-Bulk, functional PBE-GGA.

It has space group C2/c (No. 15), with a = 6.541 Å, b = 13.342 Å, c = 7.274 Å, α = 90.00°, β = 96.75° and γ = 90.00°. The distinct sites, in fractional coordinates, are Bi at (0.230, 0.049, 0.418), Bi at (0.237, 0.235, 0.788) and Pt at (0.000, 0.428, 0.250).

The uncorrected energy is -4.415 eV per atom. The energy above the most stable polymorph in this dataset is 0.00 eV per formula unit. For the spin magnetization, the calculation gives 0.0 μB/cell.

***

BiPt6 after structural relaxation. Source: Alexandria via LeMat-Bulk, functional PBE-GGA.

It has space group Im-3m (No. 229), with a = 7.026 Å, b = 7.026 Å, c = 7.026 Å, α = 90.00°, β = 90.00° and γ = 90.00°. The distinct sites, in fractional coordinates, are Bi at (0.000, 0.000, 0.000) and Pt at (0.000, 0.250, 0.500).

The uncorrected energy is -4.959 eV per atom. For the spin magnetization, the calculation gives 3.5 μB/cell.

***

PuBi2Pt after structural relaxation. Source: Alexandria via LeMat-Bulk, functional PBE-GGA.

It has space group P4/mmm (No. 123), with a = 4.794 Å, b = 4.794 Å, c = 4.286 Å, α = 90.00°, β = 90.00° and γ = 90.00°. The distinct sites, in fractional coordinates, are Pu at (0.000, 0.000, 0.000), Bi at (0.000, 0.500, 0.500) and Pt at (0.500, 0.500, 0.000).

The uncorrected energy is -7.309 eV per atom. For the spin magnetization, the calculation gives 5.4 μB/cell.